No. 1
The following is a DFT calculation (GGA-PBEsol) of a relaxed structure of InTcPt2.

- M_tot (μB per cell) = 0.00
- ΔE_f (eV/atom) = -0.03
- crystal system = monoclinic
- DOS at the Fermi energy (states/eV/cell) = 3.35
- electronic total energy (eV/atom) = -7.072
- calculated volume (Å³ per atom) = 15.75

CIF file:
```
data_InTcPt2
_chemical_formula_sum 'In1 Tc1 Pt2'
_cell_length_a 4.794
_cell_length_b 4.794
_cell_length_c 4.916
_cell_angle_alpha 98.55
_cell_angle_beta 98.55
_cell_angle_gamma 34.37
_symmetry_space_group_name_H-M 'P 1'
_symmetry_Int_Tables_number 1
_symmetry_space_group_name_Hall 'P 1'
loop_
_atom_site_label
_atom_site_type_symbol
_atom_site_fract_x
_atom_site_fract_y
_atom_site_fract_z
In1 In 0.000 0.000 0.000
Tc1 Tc 0.500 0.500 0.500
Pt1 Pt 0.245 0.245 0.735
Pt2 Pt 0.755 0.755 0.265
```

No. 2
The following is a DFT calculation (GGA-PBEsol) of a relaxed structure of Li2SF.

- M_tot (μB per cell) = 2.05
- crystal system = tetragonal
- DOS at the Fermi energy (states/eV/cell) = 2.44
- electronic total energy (eV/atom) = -4.239
- calculated volume (Å³ per atom) = 13.47
- formation energy (no corrections) (meV/atom) = -1678.1

CIF file:
```
data_Li2SF
_chemical_formula_sum 'Li4 S2 F2'
_cell_length_a 5.273
_cell_length_b 5.273
_cell_length_c 5.273
_cell_angle_alpha 117.07
_cell_angle_beta 117.07
_cell_angle_gamma 95.15
_symmetry_space_group_name_H-M 'P 1'
_symmetry_Int_Tables_number 1
_symmetry_space_group_name_Hall 'P 1'
loop_
_atom_site_label
_atom_site_type_symbol
_atom_site_fract_x
_atom_site_fract_y
_atom_site_fract_z
Li1 Li 0.028 0.625 0.903
Li2 Li 0.375 0.278 0.403
Li3 Li 0.722 0.125 0.097
Li4 Li 0.875 0.972 0.597
S1 S 0.250 0.750 0.500
S2 S 0.500 0.500 0.000
F1 F 0.000 0.000 0.000
F2 F 0.750 0.250 0.500
```

No. 3
The following is a DFT calculation (GGA-PBEsol) of a relaxed structure of CoBiAu2.

- M_tot (μB per cell) = 2.79
- ΔE_f (eV/atom) = 0.34
- crystal system = tetragonal
- DOS at the Fermi energy (states/eV/cell) = 7.16
- electronic total energy (eV/atom) = -4.632
- calculated volume (Å³ per atom) = 18.99

CIF file:
```
data_CoBiAu2
_chemical_formula_sum 'Co2 Bi2 Au4'
_cell_length_a 5.991
_cell_length_b 5.991
_cell_length_c 5.991
_cell_angle_alpha 100.97
_cell_angle_beta 100.97
_cell_angle_gamma 128.28
_symmetry_space_group_name_H-M 'P 1'
_symmetry_Int_Tables_number 1
_symmetry_space_group_name_Hall 'P 1'
loop_
_atom_site_label
_atom_site_type_symbol
_atom_site_fract_x
_atom_site_fract_y
_atom_site_fract_z
Co1 Co 0.000 0.000 0.000
Co2 Co 0.750 0.250 0.500
Bi1 Bi 0.250 0.750 0.500
Bi2 Bi 0.500 0.500 0.000
Au1 Au 0.082 0.125 0.457
Au2 Au 0.375 0.918 0.043
Au3 Au 0.668 0.625 0.543
Au4 Au 0.875 0.332 0.957
```

No. 4
The following is a DFT calculation (GGA-PBEsol) of a relaxed structure of CsTeIO2.

- M_tot (μB per cell) = 0.00
- crystal system = tetragonal
- DOS at the Fermi energy (states/eV/cell) = 0.72
- electronic total energy (eV/atom) = -3.895
- calculated volume (Å³ per atom) = 24.18
- formation energy (no corrections) (meV/atom) = -548.0

CIF file:
```
data_CsTeIO2
_chemical_formula_sum 'Cs1 Te1 I1 O2'
_cell_length_a 4.520
_cell_length_b 4.520
_cell_length_c 5.918
_cell_angle_alpha 90.00
_cell_angle_beta 90.00
_cell_angle_gamma 90.00
_symmetry_space_group_name_H-M 'P 1'
_symmetry_Int_Tables_number 1
_symmetry_space_group_name_Hall 'P 1'
loop_
_atom_site_label
_atom_site_type_symbol
_atom_site_fract_x
_atom_site_fract_y
_atom_site_fract_z
Cs1 Cs 0.000 0.000 0.000
Te1 Te 0.500 0.500 0.500
I1 I 0.500 0.500 0.000
O1 O 0.000 0.500 0.500
O2 O 0.500 0.000 0.500
```

No. 5
The following is a DFT calculation (GGA-PBEsol) of a relaxed structure of BaCdSbF.

- M_tot (μB per cell) = 0.00
- crystal system = tetragonal
- DOS at the Fermi energy (states/eV/cell) = 0.23
- electronic total energy (eV/atom) = -4.265
- calculated volume (Å³ per atom) = 25.27
- formation energy (no corrections) (meV/atom) = -1807.7

CIF file:
```
data_BaCdSbF
_chemical_formula_sum 'Ba2 Cd2 Sb2 F2'
_cell_length_a 4.572
_cell_length_b 4.572
_cell_length_c 9.674
_cell_angle_alpha 90.00
_cell_angle_beta 90.00
_cell_angle_gamma 90.00
_symmetry_space_group_name_H-M 'P 1'
_symmetry_Int_Tables_number 1
_symmetry_space_group_name_Hall 'P 1'
loop_
_atom_site_label
_atom_site_type_symbol
_atom_site_fract_x
_atom_site_fract_y
_atom_site_fract_z
Ba1 Ba 0.250 0.250 0.143
Ba2 Ba 0.750 0.750 0.857
Cd1 Cd 0.250 0.750 0.500
Cd2 Cd 0.750 0.250 0.500
Sb1 Sb 0.250 0.250 0.687
Sb2 Sb 0.750 0.750 0.313
F1 F 0.250 0.750 0.000
F2 F 0.750 0.250 0.000
```

No. 6
The following is a DFT calculation (GGA-PBEsol) of a relaxed structure of Dy2Ni12As7.

- M_tot (μB per cell) = 0.00
- ΔE_f (eV/atom) = -0.59
- crystal system = hexagonal
- DOS at the Fermi energy (states/eV/cell) = 14.01
- electronic total energy (eV/atom) = -6.284
- calculated volume (Å³ per atom) = 13.27

CIF file:
```
data_Dy2Ni12As7
_chemical_formula_sum 'Dy2 Ni12 As7'
_cell_length_a 9.224
_cell_length_b 9.224
_cell_length_c 3.782
_cell_angle_alpha 90.00
_cell_angle_beta 90.00
_cell_angle_gamma 120.00
_symmetry_space_group_name_H-M 'P 1'
_symmetry_Int_Tables_number 1
_symmetry_space_group_name_Hall 'P 1'
loop_
_atom_site_label
_atom_site_type_symbol
_atom_site_fract_x
_atom_site_fract_y
_atom_site_fract_z
Dy1 Dy 0.000 0.000 0.000
Dy2 Dy 0.333 0.667 0.500
Ni1 Ni 0.043 0.285 0.500
Ni2 Ni 0.106 0.716 0.000
Ni3 Ni 0.242 0.957 0.500
Ni4 Ni 0.284 0.390 0.000
Ni5 Ni 0.386 0.183 0.000
Ni6 Ni 0.553 0.429 0.500
Ni7 Ni 0.571 0.124 0.500
Ni8 Ni 0.610 0.894 0.000
Ni9 Ni 0.715 0.758 0.500
Ni10 Ni 0.797 0.614 0.000
Ni11 Ni 0.817 0.203 0.000
Ni12 Ni 0.876 0.447 0.500
As1 As 0.069 0.451 0.000
As2 As 0.260 0.225 0.500
As3 As 0.382 0.931 0.000
As4 As 0.549 0.618 0.000
As5 As 0.667 0.333 0.000
As6 As 0.775 0.035 0.500
As7 As 0.965 0.740 0.500
```

No. 7
The following is a DFT calculation (GGA-PBEsol) of a relaxed structure of MgPI2N.

- M_tot (μB per cell) = 0.00
- crystal system = tetragonal
- DOS at the Fermi energy (states/eV/cell) = 2.36
- electronic total energy (eV/atom) = -3.654
- calculated volume (Å³ per atom) = 22.48
- formation energy (no corrections) (meV/atom) = 259.9

CIF file:
```
data_MgPI2N
_chemical_formula_sum 'Mg1 P1 I2 N1'
_cell_length_a 5.702
_cell_length_b 5.702
_cell_length_c 3.456
_cell_angle_alpha 90.00
_cell_angle_beta 90.00
_cell_angle_gamma 90.00
_symmetry_space_group_name_H-M 'P 1'
_symmetry_Int_Tables_number 1
_symmetry_space_group_name_Hall 'P 1'
loop_
_atom_site_label
_atom_site_type_symbol
_atom_site_fract_x
_atom_site_fract_y
_atom_site_fract_z
Mg1 Mg 0.000 0.000 0.000
P1 P 0.500 0.500 0.500
I1 I 0.000 0.500 0.500
I2 I 0.500 0.000 0.500
N1 N 0.500 0.500 0.000
```

No. 8
The following is a DFT calculation (GGA-PBEsol) of a relaxed structure of AlRe2Os.

- M_tot (μB per cell) = 0.00
- ΔE_f (eV/atom) = -0.02
- crystal system = tetragonal
- DOS at the Fermi energy (states/eV/cell) = 3.75
- electronic total energy (eV/atom) = -10.759
- calculated volume (Å³ per atom) = 14.18

CIF file:
```
data_AlRe2Os
_chemical_formula_sum 'Al1 Re2 Os1'
_cell_length_a 2.790
_cell_length_b 2.790
_cell_length_c 7.291
_cell_angle_alpha 90.00
_cell_angle_beta 90.00
_cell_angle_gamma 90.00
_symmetry_space_group_name_H-M 'P 1'
_symmetry_Int_Tables_number 1
_symmetry_space_group_name_Hall 'P 1'
loop_
_atom_site_label
_atom_site_type_symbol
_atom_site_fract_x
_atom_site_fract_y
_atom_site_fract_z
Al1 Al 0.000 0.000 0.000
Re1 Re 0.500 0.500 0.249
Re2 Re 0.500 0.500 0.751
Os1 Os 0.000 0.000 0.500
```

No. 9
The following is a DFT calculation (GGA-PBEsol) of a relaxed structure of LiVB2O5.

- M_tot (μB per cell) = 8.00
- energy relative to the lowest polymorph listed for this composition (kJ/mol of atoms) = 0.0
- crystal system = monoclinic
- DOS at the Fermi energy (states/eV/cell) = 14.99
- electronic total energy (eV/atom) = -8.074
- calculated volume (Å³ per atom) = 9.42
- formation energy (no corrections) (meV/atom) = -2309.4

CIF file:
```
data_LiVB2O5
_chemical_formula_sum 'Li4 V4 B8 O20'
_cell_length_a 6.852
_cell_length_b 9.525
_cell_length_c 5.458
_cell_angle_alpha 90.00
_cell_angle_beta 107.82
_cell_angle_gamma 90.00
_symmetry_space_group_name_H-M 'P 1'
_symmetry_Int_Tables_number 1
_symmetry_space_group_name_Hall 'P 1'
loop_
_atom_site_label
_atom_site_type_symbol
_atom_site_fract_x
_atom_site_fract_y
_atom_site_fract_z
Li1 Li 0.202 0.047 0.177
Li2 Li 0.202 0.453 0.677
Li3 Li 0.798 0.547 0.323
Li4 Li 0.798 0.953 0.823
V1 V 0.246 0.676 0.300
V2 V 0.246 0.824 0.800
V3 V 0.754 0.176 0.200
V4 V 0.754 0.324 0.700
B1 B 0.096 0.117 0.650
B2 B 0.096 0.383 0.150
B3 B 0.456 0.077 0.708
B4 B 0.456 0.423 0.208
B5 B 0.544 0.577 0.792
B6 B 0.544 0.923 0.292
B7 B 0.904 0.617 0.850
B8 B 0.904 0.883 0.350
O1 O 0.066 0.709 0.941
O2 O 0.066 0.791 0.441
O3 O 0.084 0.004 0.797
O4 O 0.084 0.496 0.297
O5 O 0.272 0.149 0.585
O6 O 0.272 0.351 0.085
O7 O 0.366 0.653 0.693
O8 O 0.366 0.847 0.193
O9 O 0.465 0.564 0.239
O10 O 0.465 0.936 0.739
O11 O 0.535 0.064 0.261
O12 O 0.535 0.436 0.761
O13 O 0.634 0.153 0.807
O14 O 0.634 0.347 0.307
O15 O 0.728 0.649 0.915
O16 O 0.728 0.851 0.415
O17 O 0.916 0.504 0.703
O18 O 0.916 0.996 0.203
O19 O 0.934 0.209 0.559
O20 O 0.934 0.291 0.059
```

No. 10
The following is a DFT calculation (GGA-PBEsol) of a relaxed structure of RbPd3Au.

- M_tot (μB per cell) = 0.00
- ΔE_f (eV/atom) = 1.71
- crystal system = cubic
- DOS at the Fermi energy (states/eV/cell) = 3.38
- electronic total energy (eV/atom) = -2.854
- calculated volume (Å³ per atom) = 23.53

CIF file:
```
data_RbPd3Au
_chemical_formula_sum 'Rb1 Pd3 Au1'
_cell_length_a 4.900
_cell_length_b 4.900
_cell_length_c 4.900
_cell_angle_alpha 90.00
_cell_angle_beta 90.00
_cell_angle_gamma 90.00
_symmetry_space_group_name_H-M 'P 1'
_symmetry_Int_Tables_number 1
_symmetry_space_group_name_Hall 'P 1'
loop_
_atom_site_label
_atom_site_type_symbol
_atom_site_fract_x
_atom_site_fract_y
_atom_site_fract_z
Rb1 Rb 0.000 0.000 0.000
Pd1 Pd 0.000 0.000 0.500
Pd2 Pd 0.000 0.500 0.000
Pd3 Pd 0.500 0.000 0.000
Au1 Au 0.500 0.500 0.500
```